First-principles (PBE) data for a relaxed structure of CuSi3F, as listed in Alexandria via LeMat-Bulk.

a = 4.3119 Å, b = 4.3119 Å, c = 4.3119 Å
α = 90.00°, β = 90.00°, γ = 90.00°
With the nearest neighbours (Å) after each atom.
Space group Pm-3m (No. 221)
One atom of each set of equivalent atoms:
Cu: 0.0000 0.0000 0.0000 [1 per cell]  12 Si 3.05
Si: 0.0000 0.5000 0.5000 [3 per cell]  2 F 2.16
F: 0.5000 0.5000 0.5000 [1 per cell]  6 Si 2.16

First-principles (PBE) data for a relaxed structure of CuSi2F, as listed in Alexandria via LeMat-Bulk.

a = 5.8560 Å, b = 5.8560 Å, c = 5.8560 Å
α = 90.00°, β = 90.00°, γ = 90.00°
With the nearest neighbours (Å) after each atom.
Space group Fm-3m (No. 225)
One atom of each set of equivalent atoms:
Cu: 0.0000 0.0000 0.0000 [4 per cell]  8 Si 2.54
Si: 0.2500 0.2500 0.2500 [8 per cell]  4 F 2.54, 4 Cu 2.54
F: 0.0000 0.0000 0.5000 [4 per cell]  8 Si 2.54

First-principles (PBE) data for a relaxed structure of CuSi3F, as listed in Alexandria via LeMat-Bulk.

a = 4.4983 Å, b = 4.4983 Å, c = 4.4983 Å
α = 90.00°, β = 90.00°, γ = 90.00°
With the nearest neighbours (Å) after each atom.
Space group Pm-3m (No. 221)
One atom of each set of equivalent atoms:
Cu: 0.0000 0.0000 0.0000 [1 per cell]  6 Si 2.25
Si: 0.0000 0.0000 0.5000 [3 per cell]  2 Cu 2.25
F: 0.5000 0.5000 0.5000 [1 per cell]  12 Si 3.18

ΔE to the lowest computed polymorph readings, ordered: 0.0718 0.0000 0.0000 eV/atom
Size of the total moment readings, ordered: 0.000 0.000 0.000 μB per atom
ΔE_f (raw) readings, ordered: 0.544 -0.168 0.472 eV per atom